(1)
Computed, not measured: a geometry-optimized ReWS2Cl structure at the PBE level of DFT.

Results
Energy above the lowest structure with this stoichiometry   0.159 eV per atom
Formation energy (no corrections)   1.268 eV/atom
Total magnetization   4.77 μB per cell
Calculated volume   20.738 A^3/atom
SG   P4/mmm

a b c (Å): 4.5976 4.5976 4.9054
angles (deg): 90.00 90.00 90.00
With the nearest neighbours (Å) after each atom.
Sites, in units of the cell vectors:
Re: 0.0000 0.0000 0.0000  4 S 2.30, 2 Cl 2.45
W: 0.5000 0.5000 0.5000  4 Cl 3.25, 8 S 3.36
S: 0.0000 0.5000 0.0000  2 Re 2.30
S: 0.5000 0.0000 0.0000  2 Re 2.30
Cl: 0.0000 0.0000 0.5000  2 Re 2.45


(2)
Computed, not measured: a geometry-optimized YReSCl2 structure at the PBE level of DFT.

Results
Energy above the lowest structure with this stoichiometry   0.011 eV per atom
Formation energy (no corrections)   -0.086 eV/atom
Total magnetization   5.99 μB per cell
Calculated volume   29.617 A^3/atom
SG   P4/mmm

a b c (Å): 5.2857 5.2857 5.3003
angles (deg): 90.00 90.00 90.00
With the nearest neighbours (Å) after each atom.
Sites, in units of the cell vectors:
Y: 0.0000 0.0000 0.0000  4 Cl 2.64, 2 S 2.65
Re: 0.5000 0.5000 0.5000  4 S 3.74, 8 Cl 3.74
S: 0.0000 0.0000 0.5000  2 Y 2.65
Cl: 0.0000 0.5000 0.0000  2 Y 2.64
Cl: 0.5000 0.0000 0.0000  2 Y 2.64


What is the total magnetization in the first record? 4.77 μB per cell


What is the formula in the first record? ReWS2Cl